[1]
A plane-wave DFT calculation with GGA-PBE was carried out for a geometry-optimized CdSnCl6 structure.

The density of states at the Fermi level is 0.00 states/eV per cell. The crystal system is trigonal. As for the uncorrected formation energy: -705 kJ/mol of formula units. The calculation puts the total magnetic moment at 0.00 Bohr magnetons per cell. The energy above the most stable polymorph in this dataset is 0.021 eV per atom.

Cell and atoms, written as CIF:
```
data_CdSnCl6
_chemical_formula_sum 'Cd3 Sn3 Cl18'
_symmetry_space_group_name_H-M 'R -3'
_symmetry_Int_Tables_number 148
_symmetry_space_group_name_Hall '-R 3'
_cell_length_a 6.4599
_cell_length_b 6.4599
_cell_length_c 17.4734
_cell_angle_alpha 90.00
_cell_angle_beta 90.00
_cell_angle_gamma 120.00
loop_
_atom_site_label
_atom_site_type_symbol
_atom_site_fract_x
_atom_site_fract_y
_atom_site_fract_z
Cd1 Cd 0.0000 0.0000 0.0000
Sn1 Sn 0.0000 0.0000 0.5000
Cl1 Cl 0.0037 0.3185 0.4192
```

=====

[2]
A plane-wave DFT calculation with GGA-PBE was carried out for a geometry-optimized UNiPb2Se5 structure.

The density of states at the Fermi level is 30.07 states/eV per cell. The crystal system is orthorhombic. As for the uncorrected formation energy: -568 kJ/mol of formula units. The calculation puts the total magnetic moment at 0.42 Bohr magnetons per cell.

Cell and atoms, written as CIF:
```
data_UNiPb2Se5
_chemical_formula_sum 'U4 Ni4 Pb8 Se20'
_symmetry_space_group_name_H-M 'C m c 21'
_symmetry_Int_Tables_number 36
_cell_length_a 4.079
_cell_length_b 18.320
_cell_length_c 12.935
_cell_angle_alpha 90.00
_cell_angle_beta 90.00
_cell_angle_gamma 90.00
loop_
_symmetry_equiv_pos_as_xyz
'x,y,z'
'-x,-y,z+1/2'
'-x,y,z'
'x,-y,z+1/2'
'x+1/2,y+1/2,z'
'-x+1/2,-y+1/2,z+1/2'
'-x+1/2,y+1/2,z'
'x+1/2,-y+1/2,z+1/2'
loop_
_atom_site_label
_atom_site_type_symbol
_atom_site_fract_x
_atom_site_fract_y
_atom_site_fract_z
U1 U 0.000 0.204 0.000
Ni1 Ni 0.000 0.420 0.429
Pb1 Pb 0.000 0.097 0.269
Pb2 Pb 0.000 0.109 0.626
Se1 Se 0.000 0.054 0.021
Se2 Se 0.000 0.279 0.646
Se3 Se 0.000 0.302 0.358
Se4 Se 0.000 0.354 0.968
Se5 Se 0.000 0.485 0.268
```

=====

[3]
A plane-wave DFT calculation with GGA-PBE was carried out for a geometry-optimized Tb3PmSm6 structure.

The density of states at the Fermi level is 56.86 states/eV per cell. The crystal system is orthorhombic. The calculation puts the total magnetic moment at 0.00 Bohr magnetons per cell. The energy above the most stable polymorph in this dataset is 0.021 eV per atom. As for the energy relative to the elements: 1.45 eV per formula unit.

Cell and atoms, written as CIF:
```
data_Tb3PmSm6
_chemical_formula_sum 'Tb12 Pm4 Sm24'
_symmetry_space_group_name_H-M 'C m c 21'
_symmetry_Int_Tables_number 36
_cell_length_a 11.020
_cell_length_b 19.206
_cell_length_c 6.340
_cell_angle_alpha 90.00
_cell_angle_beta 90.00
_cell_angle_gamma 90.00
loop_
_symmetry_equiv_pos_as_xyz
'x,y,z'
'-x,-y,z+1/2'
'-x,y,z'
'x,-y,z+1/2'
'x+1/2,y+1/2,z'
'-x+1/2,-y+1/2,z+1/2'
'-x+1/2,y+1/2,z'
'x+1/2,-y+1/2,z+1/2'
loop_
_atom_site_label
_atom_site_type_symbol
_atom_site_fract_x
_atom_site_fract_y
_atom_site_fract_z
Tb1 Tb 0.000 0.115 0.000
Tb2 Tb 0.173 0.385 0.378
Pm1 Pm 0.000 0.304 0.033
Sm1 Sm 0.000 0.221 0.562
Sm2 Sm 0.000 0.462 0.793
Sm3 Sm 0.168 0.042 0.466
Sm4 Sm 0.238 0.209 0.289
```

=====

[4]
A plane-wave DFT calculation with GGA-PBE was carried out for a geometry-optimized K2TaMnS5 structure.

The density of states at the Fermi level is 16.92 states/eV per cell. The crystal system is orthorhombic. As for the uncorrected formation energy: -803 kJ/mol of formula units. The calculation puts the total magnetic moment at 15.50 Bohr magnetons per cell.

Cell and atoms, written as CIF:
```
data_K2TaMnS5
_chemical_formula_sum 'K8 Ta4 Mn4 S20'
_symmetry_space_group_name_H-M 'C m c 21'
_symmetry_Int_Tables_number 36
_cell_length_a 3.663
_cell_length_b 18.774
_cell_length_c 13.441
_cell_angle_alpha 90.00
_cell_angle_beta 90.00
_cell_angle_gamma 90.00
loop_
_symmetry_equiv_pos_as_xyz
'x,y,z'
'-x,-y,z+1/2'
'-x,y,z'
'x,-y,z+1/2'
'x+1/2,y+1/2,z'
'-x+1/2,-y+1/2,z+1/2'
'-x+1/2,y+1/2,z'
'x+1/2,-y+1/2,z+1/2'
loop_
_atom_site_label
_atom_site_type_symbol
_atom_site_fract_x
_atom_site_fract_y
_atom_site_fract_z
K1 K 0.000 0.117 0.000
K2 K 0.000 0.123 0.627
Ta1 Ta 0.000 0.215 0.342
Mn1 Mn 0.000 0.428 0.756
S1 S 0.000 0.070 0.357
S2 S 0.000 0.290 0.966
S3 S 0.000 0.307 0.713
S4 S 0.000 0.334 0.316
S5 S 0.000 0.487 0.620
```

=====

Question: Which value of density of states at the Fermi level does entry 4 give?
Answer: 16.92 states/eV per cell